No. 1
Sm2Y2CI2Br3: optimized geometry, PBE-GGA.

Total magnetic moment, μB/f.u.: 0.28
Total DFT energy (no corrections), eV/cell: -52.7

Lattice parameters (Å, degrees): 9.607 9.607 8.371 101.43 101.43 23.62
Atoms (fractional coordinates):
Sm  0.002  0.002  0.297
Sm  0.998  0.998  0.703
Y  0.370  0.370  0.439
Y  0.630  0.630  0.561
C  0.500  0.500  0.500
I  0.168  0.168  0.843
I  0.832  0.832  0.157
Br  0.166  0.166  0.335
Br  0.500  0.500  0.000
Br  0.834  0.834  0.665

---

No. 2
Li4Cu: optimized geometry, PBE-GGA.

Total DFT energy (no corrections), eV/cell: -34.3

Lattice parameters (Å, degrees): 4.824 4.824 12.593 79.26 79.26 60.01
Atoms (fractional coordinates):
Li  0.000  0.000  0.000
Li  0.067  0.067  0.796
Li  0.146  0.141  0.572
Li  0.226  0.219  0.339
Li  0.303  0.302  0.094
Li  0.426  0.425  0.720
Li  0.503  0.497  0.505
Li  0.575  0.569  0.291
Li  0.642  0.642  0.076
Li  0.766  0.764  0.702
Li  0.853  0.846  0.457
Li  0.930  0.925  0.224
Cu  0.033  0.533  0.898
Cu  0.533  0.033  0.898
Cu  0.534  0.534  0.898

---

No. 3
PrCoAg: optimized geometry, PBE-GGA.

Formation energy from the elements, eV per atom: 0.74
Total magnetic moment, μB/f.u.: 0.95

Lattice parameters (Å, degrees): 4.748 4.748 4.748 60.00 60.00 60.00
Atoms (fractional coordinates):
Pr  0.000  0.000  0.000
Co  0.250  0.250  0.250
Ag  0.750  0.750  0.750

---

No. 4
LiAlPt: optimized geometry, PBE-GGA.

Total magnetic moment, μB/f.u.: 0.00
Total DFT energy (no corrections), eV/cell: -42.0

Lattice parameters (Å, degrees): 7.213 7.213 2.849 90.00 90.00 120.00
Atoms (fractional coordinates):
Li  0.000  0.638  0.000
Li  0.362  0.362  0.000
Li  0.638  0.000  0.000
Al  0.000  0.000  0.000
Al  0.333  0.667  0.500
Al  0.667  0.333  0.500
Pt  0.000  0.304  0.500
Pt  0.304  0.000  0.500
Pt  0.696  0.696  0.500

---

No. 5
KZrAuSe3: optimized geometry, PBE-GGA.

Total magnetic moment, μB/f.u.: 0.00
Total DFT energy (no corrections), eV/cell: -115.2

Lattice parameters (Å, degrees): 12.545 4.153 12.776 90.00 90.00 90.00
Atoms (fractional coordinates):
K  0.182  0.250  0.047
K  0.318  0.750  0.547
K  0.682  0.250  0.453
K  0.818  0.750  0.953
Zr  0.044  0.250  0.347
Zr  0.456  0.750  0.847
Zr  0.544  0.250  0.153
Zr  0.956  0.750  0.653
Au  0.202  0.750  0.264
Au  0.298  0.250  0.764
Au  0.702  0.750  0.236
Au  0.798  0.250  0.736
Se  0.014  0.750  0.194
Se  0.077  0.250  0.567
Se  0.239  0.750  0.859
Se  0.261  0.250  0.359
Se  0.423  0.750  0.067
Se  0.486  0.250  0.694
Se  0.514  0.750  0.306
Se  0.577  0.250  0.933
Se  0.739  0.750  0.641
Se  0.761  0.250  0.141
Se  0.923  0.750  0.433
Se  0.986  0.250  0.806

---

No. 6
GePOsO: optimized geometry, PBE-GGA.

Total magnetic moment, μB/f.u.: 0.00
Total DFT energy (no corrections), eV/cell: -53.7

Lattice parameters (Å, degrees): 3.620 6.530 5.252 90.00 90.00 90.00
Atoms (fractional coordinates):
Ge  0.000  0.099  0.000
Ge  0.000  0.901  0.500
P  0.000  0.333  0.386
P  0.000  0.667  0.886
Os  0.500  0.457  0.604
Os  0.500  0.543  0.104
O  0.500  0.256  0.910
O  0.500  0.744  0.410